# AcCeInGa

Crystalline AcCeInGa at its relaxed geometry (PBE, Alexandria).

Values from the calculation:
The density of states at the Fermi level is 2.1289 states/eV/atom. Its energy of formation from the pure elements is -0.3445 eV per atom. The space group is No. 216. The size of the total moment comes out at 0.9 μB per formula unit.

abc: 7.8086 7.8086 7.8086
angles: 90.00 90.00 90.00
Fractional coordinates of all 16 atoms:
1 Ac 0.0000 0.0000 0.0000
2 Ac 0.0000 0.5000 0.5000
3 Ac 0.5000 0.0000 0.5000
4 Ac 0.5000 0.5000 0.0000
5 Ce 0.0000 0.0000 0.5000
6 Ce 0.0000 0.5000 0.0000
7 Ce 0.5000 0.0000 0.0000
8 Ce 0.5000 0.5000 0.5000
9 In 0.2500 0.2500 0.2500
10 In 0.2500 0.7500 0.7500
11 In 0.7500 0.2500 0.7500
12 In 0.7500 0.7500 0.2500
13 Ga 0.2500 0.2500 0.7500
14 Ga 0.2500 0.7500 0.2500
15 Ga 0.7500 0.2500 0.2500
16 Ga 0.7500 0.7500 0.7500